# CsBa2YI8, relaxed, DFT PBE
# E_tot in eV per atom: -3.540
# ΔE_f (raw) in eV/atom: -1.58
# Crystal system: triclinic
data_CsBa2YI8
_space_group_name_H-M_alt 'P -1'
_space_group_IT_number 2
_space_group_name_Hall '-P 1'
_cell_length_a 7.6945
_cell_length_b 7.9401
_cell_length_c 10.6869
_cell_angle_alpha 90.02
_cell_angle_beta 90.06
_cell_angle_gamma 90.06
loop_
_atom_site_label
_atom_site_type_symbol
_atom_site_fract_x
_atom_site_fract_y
_atom_site_fract_z
Cs1 Cs 0.0000 0.0000 0.0000
Ba1 Ba 0.5003 0.5000 0.2550
Y1 Y 0.0000 0.0000 0.5000
I1 I 0.2320 0.8516 0.2992
I2 I 0.2329 0.8526 0.7011
I3 I 0.2350 0.3217 0.4997
I4 I 0.2550 0.3965 0.9999